Entry 1:
First-principles (GGA-PBE) data for a relaxed structure of Cs2Ge2Te, as listed in the Alexandria database.

Properties
* ΔE_f (raw): -0.18 eV per atom
* space group: P4/mbm

The structure in POSCAR format:
```
Cs2Ge2Te
1.0
-0.268 -4.613 -6.594
7.617 1.984 -1.697
1.876 -4.547 3.105
Ge Te Cs
4 2 4
direct
0.105 0.395 0.000
0.605 0.105 0.000
0.395 0.895 0.000
0.895 0.605 0.000
0.000 0.000 0.000
0.500 0.500 0.000
0.294 0.206 0.500
0.794 0.294 0.500
0.706 0.794 0.500
0.206 0.706 0.500
```

---

Entry 2:
First-principles (GGA-PBE) data for a relaxed structure of Li3H3Pd2, as listed in the Alexandria database.

Properties
* E: -3.569 eV/atom
* space group: Cmcm

The structure in POSCAR format:
```
Li3H3Pd2
1.0
3.897 0.000 0.000
-1.948 4.329 0.000
0.000 0.000 10.085
Pd H Li
4 6 6
direct
0.740 0.480 0.897
0.260 0.520 0.397
0.260 0.520 0.103
0.740 0.480 0.603
0.735 0.469 0.422
0.380 0.760 0.250
0.620 0.240 0.750
0.265 0.531 0.922
0.265 0.531 0.578
0.735 0.469 0.078
0.048 0.096 0.881
0.633 0.265 0.250
0.367 0.735 0.750
0.952 0.904 0.381
0.048 0.096 0.619
0.952 0.904 0.119
```

---

Entry 3:
First-principles (GGA-PBE) data for a relaxed structure of Er6Te3AsSe2, as listed in the Alexandria database.

Properties
* ΔE_f (raw): -1.48 eV per atom
* space group: C2/m

The structure in POSCAR format:
```
Er6Te3AsSe2
1.0
-4.299 1.273 -5.628
-2.771 -2.543 6.134
1.345 6.944 2.078
Se Er Te As
2 6 3 1
direct
0.666 0.334 0.000
0.334 0.666 0.000
0.071 0.399 0.214
0.929 0.601 0.786
0.399 0.071 0.214
0.601 0.929 0.786
0.255 0.255 0.785
0.745 0.745 0.215
0.168 0.832 0.500
0.832 0.168 0.500
0.500 0.500 0.500
0.000 0.000 0.000
```

---

Entry 4:
First-principles (GGA-PBE) data for a relaxed structure of AuSeI, as listed in the Alexandria database.

Properties
* ΔE_f (raw): 0.06 eV per atom
* space group: C2

The structure in POSCAR format:
```
AuSeI
1.0
-3.094 -2.558 0.022
2.677 -3.287 -5.548
3.798 -1.396 7.054
Au I Se
2 2 2
direct
0.677 0.043 0.355
0.323 0.688 0.645
0.324 0.272 0.650
0.676 0.622 0.350
0.081 0.095 0.163
0.919 0.933 0.837
```